# 1
The following is a PBE calculation of an optimized crystal structure of Sc2AgPd2, from the Alexandria database.

CIF file:
```
data_Sc2AgPd2
_cell_length_a 7.779
_cell_length_b 7.779
_cell_length_c 3.141
_cell_angle_alpha 90.00
_cell_angle_beta 90.00
_cell_angle_gamma 90.00
_space_group_name_H-M_alt 'P 1'
_space_group_IT_number 1
_space_group_name_Hall 'P 1'
loop_
_atom_site_label
_atom_site_fract_x
_atom_site_fract_y
_atom_site_fract_z
_atom_site_occupancy
Ag1 0.000 0.000 0.000 1
Sc1 0.846 0.654 0.000 1
Pd1 0.640 0.860 0.500 1
Sc2 0.154 0.346 0.000 1
Pd2 0.140 0.640 0.500 1
Ag2 0.500 0.500 0.000 1
Pd3 0.360 0.140 0.500 1
Sc3 0.654 0.154 0.000 1
Pd4 0.860 0.360 0.500 1
Sc4 0.346 0.846 0.000 1
```

Output
For the volume, the calculation gives 190.0 Å³ per cell. As for the energy above the most stable polymorph in this dataset: 152 meV/atom. The calculation puts the energy relative to the elements at -0.55 eV/atom. The value obtained for the total magnetic moment is 0.000 μB/atom.

# 2
The following is a PBE calculation of an optimized crystal structure of FeCuSb2, from the Alexandria database.

CIF file:
```
data_FeCuSb2
_cell_length_a 6.041
_cell_length_b 6.041
_cell_length_c 6.812
_cell_angle_alpha 63.68
_cell_angle_beta 63.68
_cell_angle_gamma 90.00
_space_group_name_H-M_alt 'P 1'
_space_group_IT_number 1
_space_group_name_Hall 'P 1'
loop_
_atom_site_label
_atom_site_fract_x
_atom_site_fract_y
_atom_site_fract_z
_atom_site_occupancy
Sb1 0.375 0.396 0.750 1
Fe1 0.500 0.500 0.000 1
Cu1 0.000 0.000 0.000 1
Sb2 0.604 0.125 0.250 1
Cu2 0.750 0.250 0.500 1
Sb3 0.146 0.625 0.250 1
Sb4 0.875 0.854 0.750 1
Fe2 0.250 0.750 0.500 1
```

Output
For the volume, the calculation gives 193.6 Å³ per cell. The raw formation energy comes out at 0.48 eV/atom. The value obtained for the total magnetic moment is 0.000 μB/atom.

# 3
The following is a PBE calculation of an optimized crystal structure of NdTm4, from the Alexandria database.

CIF file:
```
data_NdTm4
_cell_length_a 5.567
_cell_length_b 5.567
_cell_length_c 5.567
_cell_angle_alpha 90.00
_cell_angle_beta 90.00
_cell_angle_gamma 90.00
_space_group_name_H-M_alt 'P 1'
_space_group_IT_number 1
_space_group_name_Hall 'P 1'
loop_
_atom_site_label
_atom_site_fract_x
_atom_site_fract_y
_atom_site_fract_z
_atom_site_occupancy
Tm1 0.000 0.000 0.000 1
Tm2 0.500 0.500 0.000 1
Nd1 0.500 0.500 0.500 1
Tm3 0.500 0.000 0.500 1
Tm4 0.000 0.500 0.500 1
```

Output
For the volume, the calculation gives 172.5 Å³ per cell. As for the energy above the most stable polymorph in this dataset: 724 meV/atom. The calculation puts the energy relative to the elements at 0.73 eV/atom. The value obtained for the total magnetic moment is 0.000 μB/atom.

# 4
The following is a PBE calculation of an optimized crystal structure of SrTlAg2, from the Alexandria database.

CIF file:
```
data_SrTlAg2
_cell_length_a 5.063
_cell_length_b 5.063
_cell_length_c 10.510
_cell_angle_alpha 76.06
_cell_angle_beta 76.06
_cell_angle_gamma 90.00
_space_group_name_H-M_alt 'P 1'
_space_group_IT_number 1
_space_group_name_Hall 'P 1'
loop_
_atom_site_label
_atom_site_fract_x
_atom_site_fract_y
_atom_site_fract_z
_atom_site_occupancy
Ag1 0.762 0.125 0.250 1
Tl1 0.750 0.250 0.500 1
Sr1 0.500 0.500 0.000 1
Ag2 0.875 0.012 0.750 1
Ag3 0.375 0.238 0.750 1
Sr2 0.250 0.750 0.500 1
Ag4 0.988 0.625 0.250 1
Tl2 0.000 0.000 0.000 1
```

Output
For the volume, the calculation gives 253.3 Å³ per cell. The calculation puts the energy relative to the elements at 0.02 eV/atom. The value obtained for the total magnetic moment is 0.000 μB/atom.